{"formula": "LiLaOs2", "functional": "PBE", "state": "optimized geometry", "lattice_angstrom": [[5.450, 0.005, -0.003], [2.466, 4.860, 0.003], [-3.368, -3.392, 2.618]], "species": ["La", "Li", "Os", "Os"], "fractional_positions": [[0.750, 0.250, 0.500], [0.250, 0.750, 0.500], [0.007, 0.007, 0.000], [0.493, 0.493, 0.000]], "e_form_ev_per_atom": 0.50, "dos_at_fermi_per_ev_cell": 4.40, "space_group": "Immm, No. 71", "final_energy_ev_per_atom": -6.829}

{"formula": "LiLaOs2", "functional": "PBE", "state": "optimized geometry", "lattice_angstrom": [[-0.126, 1.524, 2.309], [-2.409, -1.197, 0.658], [4.393, -6.392, 4.457]], "species": ["La", "Li", "Os", "Os"], "fractional_positions": [[0.500, 0.500, 0.250], [0.500, 0.500, 0.750], [0.000, 0.000, 0.966], [0.000, 0.000, 0.534]], "e_form_ev_per_atom": 0.75, "dos_at_fermi_per_ev_cell": 6.37, "space_group": "P4/mmm, No. 123", "final_energy_ev_per_atom": -6.572}

{"formula": "Li2LaOs", "functional": "PBE", "state": "optimized geometry", "lattice_angstrom": [[-3.460, -3.213, -1.096], [-0.607, -0.691, 3.940], [-2.767, 2.950, 0.091]], "species": ["La", "Li", "Li", "Os"], "fractional_positions": [[0.500, 0.000, 0.500], [0.000, 0.000, 0.000], [0.000, 0.500, 0.500], [0.500, 0.500, 0.000]], "e_form_ev_per_atom": 0.27, "dos_at_fermi_per_ev_cell": 4.28, "space_group": "P4/mmm, No. 123", "final_energy_ev_per_atom": -4.726}

{"formula": "LiLaOs4", "functional": "PBE", "state": "optimized geometry", "lattice_angstrom": [[0.000, 3.778, 3.778], [3.778, 0.000, 3.778], [3.778, 3.778, 0.000]], "species": ["Li", "La", "Os", "Os", "Os", "Os"], "fractional_positions": [[0.000, 0.000, 0.000], [0.750, 0.750, 0.750], [0.877, 0.374, 0.374], [0.374, 0.374, 0.877], [0.374, 0.877, 0.374], [0.374, 0.374, 0.374]], "e_form_ev_per_atom": 0.24, "dos_at_fermi_per_ev_cell": 9.92, "space_group": "F-43m, No. 216", "final_energy_ev_per_atom": -8.384}

{"formula": "LiLaOs2", "functional": "PBE", "state": "optimized geometry", "lattice_angstrom": [[2.849, 0.001, 0.000], [-1.309, 2.531, 0.000], [0.000, 0.000, 10.198]], "species": ["La", "Li", "Os", "Os"], "fractional_positions": [[0.000, 0.000, 0.475], [0.500, 0.500, 0.792], [0.000, 0.000, 0.012], [0.500, 0.500, 0.221]], "e_form_ev_per_atom": 0.70, "dos_at_fermi_per_ev_cell": 5.95, "space_group": "Cmm2, No. 35", "final_energy_ev_per_atom": -6.621}

{"formula": "LiLaOs3", "functional": "PBE", "state": "optimized geometry", "lattice_angstrom": [[4.380, 0.000, 0.000], [0.000, 4.380, 0.000], [0.000, 0.000, 4.380]], "species": ["Li", "Os", "Os", "Os", "La"], "fractional_positions": [[0.000, 0.000, 0.000], [0.000, 0.500, 0.000], [0.000, 0.000, 0.500], [0.500, 0.000, 0.000], [0.500, 0.500, 0.500]], "e_form_ev_per_atom": 1.04, "dos_at_fermi_per_ev_cell": 9.41, "space_group": "Pm-3m, No. 221", "final_energy_ev_per_atom": -7.065}

{"formula": "LiLa2Os", "functional": "PBE", "state": "optimized geometry", "lattice_angstrom": [[4.566, 0.000, 0.000], [0.000, 4.046, 0.105], [0.000, 1.901, 5.492]], "species": ["La", "La", "Li", "Os"], "fractional_positions": [[0.000, 0.991, 0.892], [0.500, 0.261, 0.355], [0.000, 0.691, 0.495], [0.500, 0.558, 0.757]], "e_form_ev_per_atom": 0.04, "dos_at_fermi_per_ev_cell": 3.73, "space_group": "Pm, No. 6", "final_energy_ev_per_atom": -5.706}

{"formula": "LiLaOs2", "functional": "PBE", "state": "optimized geometry", "lattice_angstrom": [[5.306, 0.006, 0.000], [2.308, 4.778, 0.000], [-3.807, -2.392, 2.818]], "species": ["La", "Li", "Os", "Os"], "fractional_positions": [[0.250, 0.750, 0.500], [0.750, 0.250, 0.500], [0.000, 0.000, 0.000], [0.500, 0.500, 0.000]], "e_form_ev_per_atom": 0.52, "dos_at_fermi_per_ev_cell": 5.63, "space_group": "I4/mmm, No. 139", "final_energy_ev_per_atom": -6.803}

| no. | V (Å³/atom) | spin magnetization (μB/cell) |
| --- | --- | --- |
| 1 | 17.34 | 0.000 |
| 2 | 17.16 | 0.130 |
| 3 | 19.83 | 0.239 |
| 4 | 17.98 | 0.004 |
| 5 | 18.38 | 0.173 |
| 6 | 16.80 | 0.522 |
| 7 | 25.13 | 0.000 |
| 8 | 17.85 | 0.002 |